This record from Alexandria describes a relaxed Na3PS4 crystal. The functional is PBEsol.

Lattice parameters (Å, degrees): 6.8828 6.8828 7.0229 90.00 90.00 90.00
Last column: nearest neighbours and their distance in Å.
Sites, in units of the cell vectors:
Na1 0.0000 0.5000 0.4252  6 S 2.80-2.99
Na2 0.5000 0.0000 0.5748  6 S 2.80-2.99
Na3 0.5000 0.0000 0.0748  6 S 2.80-2.99
Na4 0.0000 0.5000 0.9252  6 S 2.80-2.99
Na5 0.0000 0.0000 0.0000  4 S 2.88
Na6 0.5000 0.5000 0.5000  4 S 2.88
P1 0.0000 0.0000 0.5000  4 S 2.06
P2 0.5000 0.5000 0.0000  4 S 2.06
S1 0.3089 0.3461 0.1678  1 P 2.06
S2 0.3461 0.6911 0.8322  1 P 2.06
S3 0.6539 0.3089 0.8322  1 P 2.06
S4 0.8089 0.1539 0.3322  1 P 2.06
S5 0.1911 0.8461 0.3322  1 P 2.06
S6 0.6911 0.6539 0.1678  1 P 2.06
S7 0.1539 0.1911 0.6678  1 P 2.06
S8 0.8461 0.8089 0.6678  1 P 2.06

Values from the calculation:
Uncorrected formation energy in kcal/mol of atoms: -20.6
Total magnetization in μB per formula unit: 0.0
Mass density in g/cm³: 2.28
Volume in Å³/f.u.: 166.3